# Sc2In2Pb

Crystalline Sc2In2Pb at its relaxed geometry (GGA-PBE, Alexandria via LeMat-Bulk).

Output
The final energy is -4.336 eV/atom. For the energy above the most stable polymorph in this dataset, the calculation gives 314.2 meV per atom. The size of the total moment comes out at 0.54 μB/f.u. The value obtained for the formation energy from the elements is 34 meV per atom.

abc: 4.6528 4.6528 7.2653
angles: 71.32 71.32 90.00
Site moments in Bohr magnetons follow the coordinates.
Fractional positions:
Sc1 0.7500 0.2500 0.5000  0.19
Sc2 0.2500 0.7500 0.5000  0.19
In1 0.3942 0.3942 0.2117  0.00
In2 0.6058 0.6058 0.7883  0.00
Pb1 0.0000 0.0000 0.0000  -0.01


# La3VRh

Crystalline La3VRh at its relaxed geometry (GGA-PBE, Alexandria via LeMat-Bulk).

Output
The final energy is -6.086 eV/atom. For the energy above the most stable polymorph in this dataset, the calculation gives 0.0 meV per atom. The size of the total moment comes out at 4.24 μB/f.u. The value obtained for the formation energy from the elements is 165 meV per atom.

abc: 5.5422 5.5422 5.5422
angles: 90.00 90.00 90.00
Site moments in Bohr magnetons follow the coordinates.
Fractional positions:
Rh1 0.0000 0.0000 0.0000  0.04
La1 0.0000 0.5000 0.0000  0.05
La2 0.5000 0.0000 0.0000  0.05
V1 0.5000 0.5000 0.5000  2.96
La3 0.0000 0.0000 0.5000  0.05


# TaNb3Pb

Crystalline TaNb3Pb at its relaxed geometry (GGA-PBE, Alexandria via LeMat-Bulk).

Output
The final energy is -6.956 eV/atom. For the energy above the most stable polymorph in this dataset, the calculation gives 935.9 meV per atom. The size of the total moment comes out at 0.00 μB/f.u. The value obtained for the formation energy from the elements is 2198 meV per atom.

abc: 5.0436 5.0436 5.0436
angles: 90.00 90.00 90.00
Fractional positions:
Pb1 0.0000 0.0000 0.0000
Ta1 0.5000 0.5000 0.5000
Nb1 0.5000 0.0000 0.0000
Nb2 0.0000 0.0000 0.5000
Nb3 0.0000 0.5000 0.0000


# CeHoIrOs

Crystalline CeHoIrOs at its relaxed geometry (GGA-PBE, Alexandria via LeMat-Bulk).

Output
The final energy is -8.078 eV/atom. The size of the total moment comes out at 0.00 μB/f.u. The value obtained for the formation energy from the elements is -427 meV per atom.

abc: 4.8728 4.8728 4.8728
angles: 60.00 60.00 60.00
Fractional positions:
Ir1 0.0000 0.0000 0.0000
Ho1 0.7500 0.7500 0.7500
Ce1 0.2500 0.2500 0.2500
Os1 0.5000 0.5000 0.5000


Please write out number 1 again, unchanged.
# Sc2In2Pb

Crystalline Sc2In2Pb at its relaxed geometry (GGA-PBE, Alexandria via LeMat-Bulk).

Output
The final energy is -4.336 eV/atom. For the energy above the most stable polymorph in this dataset, the calculation gives 314.2 meV per atom. The size of the total moment comes out at 0.54 μB/f.u. The value obtained for the formation energy from the elements is 34 meV per atom.

abc: 4.6528 4.6528 7.2653
angles: 71.32 71.32 90.00
Site moments in Bohr magnetons follow the coordinates.
Fractional positions:
Sc1 0.7500 0.2500 0.5000  0.19
Sc2 0.2500 0.7500 0.5000  0.19
In1 0.3942 0.3942 0.2117  0.00
In2 0.6058 0.6058 0.7883  0.00
Pb1 0.0000 0.0000 0.0000  -0.01